--- P ---
Density functional theory data (GGA-PBE) for an optimized crystal structure of LiBe2Os2.

V, Å³/cell: 69.0
DOS at the Fermi energy, states/eV/atom: 0.9815
Magnetic moment, μB/atom: 0.00

a b c (Å): 5.669 5.669 5.669
angles (deg): 141.87 141.87 55.03
Fractional coordinates of all 5 atoms:
Li 0.000 0.000 0.000
Be 0.389 0.389 0.000
Be 0.611 0.611 0.000
Os 0.250 0.750 0.500
Os 0.750 0.250 0.500



--- Q ---
Density functional theory data (GGA-PBE) for an optimized crystal structure of LiBe2Os2.

V, Å³/cell: 127.1
DOS at the Fermi energy, states/eV/atom: 1.1043
Magnetic moment, μB/atom: 0.00

a b c (Å): 7.135 7.135 2.498
angles (deg): 90.00 90.00 90.00
Fractional coordinates of all 10 atoms:
Li 0.000 0.000 0.000
Li 0.500 0.500 0.000
Be 0.162 0.338 0.500
Be 0.338 0.838 0.500
Be 0.662 0.162 0.500
Be 0.838 0.662 0.500
Os 0.134 0.634 0.000
Os 0.366 0.134 0.000
Os 0.634 0.866 0.000
Os 0.866 0.366 0.000



Name the least stable of them. P.



--- P ---
Density functional theory data (GGA-PBE) for an optimized crystal structure of LiBe2P2.

V, Å³/cell: 280.8
DOS at the Fermi energy, states/eV/atom: 0.3202
Magnetic moment, μB/atom: 0.00

a b c (Å): 8.614 3.441 9.475
angles (deg): 90.00 90.00 90.00
Fractional coordinates of all 20 atoms:
Li 0.240 0.250 0.197
Li 0.260 0.750 0.697
Li 0.740 0.250 0.303
Li 0.760 0.750 0.803
Be 0.034 0.750 0.381
Be 0.091 0.750 0.960
Be 0.409 0.250 0.460
Be 0.466 0.250 0.881
Be 0.534 0.750 0.119
Be 0.591 0.750 0.540
Be 0.909 0.250 0.040
Be 0.966 0.250 0.619
P 0.025 0.250 0.836
P 0.157 0.250 0.467
P 0.343 0.750 0.967
P 0.475 0.750 0.336
P 0.525 0.250 0.664
P 0.657 0.250 0.033
P 0.843 0.750 0.533
P 0.975 0.750 0.164



--- Q ---
Density functional theory data (GGA-PBE) for an optimized crystal structure of LiBe2P2.

V, Å³/cell: 71.2
DOS at the Fermi energy, states/eV/atom: 0.3215
Magnetic moment, μB/atom: 0.00

a b c (Å): 6.314 6.314 6.314
angles (deg): 147.80 147.80 46.18
Fractional coordinates of all 5 atoms:
Li 0.000 0.000 0.000
Be 0.250 0.750 0.500
Be 0.750 0.250 0.500
P 0.363 0.363 0.000
P 0.637 0.637 0.000



Name the least stable of them. Q.



--- P ---
Density functional theory data (GGA-PBE) for an optimized crystal structure of LiBeP2S.

V, Å³/cell: 80.8
DOS at the Fermi energy, states/eV/atom: 0.4562
Magnetic moment, μB/atom: 0.00

a b c (Å): 4.207 4.207 4.563
angles (deg): 90.00 90.00 90.00
Fractional coordinates of all 5 atoms:
Li 0.000 0.000 0.000
Be 0.500 0.500 0.500
P 0.000 0.500 0.000
P 0.500 0.000 0.000
S 0.000 0.000 0.500



--- Q ---
Density functional theory data (GGA-PBE) for an optimized crystal structure of LiBeP2S.

V, Å³/cell: 84.3
DOS at the Fermi energy, states/eV/atom: 0.6838
Magnetic moment, μB/atom: 0.00

a b c (Å): 4.142 4.142 4.912
angles (deg): 90.00 90.00 90.00
Fractional coordinates of all 5 atoms:
Li 0.000 0.000 0.000
Be 0.500 0.500 0.500
P 0.000 0.500 0.500
P 0.500 0.000 0.500
S 0.500 0.500 0.000



Name the least stable of them. P.



--- P ---
Density functional theory data (GGA-PBE) for an optimized crystal structure of LiBePb.

V, Å³/cell: 118.1
DOS at the Fermi energy, states/eV/atom: 0.3057
Magnetic moment, μB/atom: 0.00

a b c (Å): 3.859 4.709 6.971
angles (deg): 74.47 75.84 89.96
Fractional coordinates of all 6 atoms:
Li 0.000 0.000 0.000
Li 0.224 0.927 0.495
Be 0.067 0.584 0.849
Be 0.594 0.818 0.786
Pb 0.444 0.428 0.134
Pb 0.665 0.387 0.625



--- Q ---
Density functional theory data (GGA-PBE) for an optimized crystal structure of LiBePb.

V, Å³/cell: 56.9
DOS at the Fermi energy, states/eV/atom: 0.3724
Magnetic moment, μB/atom: 0.00

a b c (Å): 4.361 4.361 3.458
angles (deg): 90.00 90.00 120.00
Fractional coordinates of all 3 atoms:
Li 0.000 0.000 0.000
Be 0.667 0.333 0.500
Pb 0.333 0.667 0.500



--- R ---
Density functional theory data (GGA-PBE) for an optimized crystal structure of LiBePb.

V, Å³/cell: 61.5
DOS at the Fermi energy, states/eV/atom: 0.5770
Magnetic moment, μB/atom: 0.00

a b c (Å): 3.308 3.308 6.491
angles (deg): 90.00 90.00 120.00
Fractional coordinates of all 3 atoms:
Li 0.000 0.000 0.000
Be 0.333 0.667 0.700
Pb 0.667 0.333 0.389



--- S ---
Density functional theory data (GGA-PBE) for an optimized crystal structure of LiBePb.

V, Å³/cell: 53.9
DOS at the Fermi energy, states/eV/atom: 0.3498
Magnetic moment, μB/atom: 0.00

a b c (Å): 4.748 4.748 4.748
angles (deg): 134.32 134.32 66.59
Fractional coordinates of all 3 atoms:
Li 0.000 0.000 0.000
Be 0.672 0.672 0.000
Pb 0.332 0.332 0.000



Name the least stable of them. R.



--- P ---
Density functional theory data (GGA-PBE) for an optimized crystal structure of LiBePb.

V, Å³/cell: 55.3
DOS at the Fermi energy, states/eV/atom: 0.5546
Magnetic moment, μB/atom: 0.00

a b c (Å): 4.276 4.276 4.276
angles (deg): 60.00 60.00 60.00
Fractional coordinates of all 3 atoms:
Li 0.000 0.000 0.000
Be 0.750 0.750 0.750
Pb 0.500 0.500 0.500



--- Q ---
Density functional theory data (GGA-PBE) for an optimized crystal structure of LiBePb.

V, Å³/cell: 58.9
DOS at the Fermi energy, states/eV/atom: 0.6369
Magnetic moment, μB/atom: 0.00

a b c (Å): 4.367 4.367 4.367
angles (deg): 60.00 60.00 60.00
Fractional coordinates of all 3 atoms:
Li 0.000 0.000 0.000
Be 0.500 0.500 0.500
Pb 0.250 0.250 0.250



--- R ---
Density functional theory data (GGA-PBE) for an optimized crystal structure of LiBePb.

V, Å³/cell: 118.6
DOS at the Fermi energy, states/eV/atom: 0.3513
Magnetic moment, μB/atom: 0.00

a b c (Å): 4.727 3.863 6.790
angles (deg): 90.00 106.94 90.00
Fractional coordinates of all 6 atoms:
Li 0.000 0.000 0.000
Li 0.454 0.000 0.498
Be 0.104 0.500 0.294
Be 0.920 0.000 0.350
Pb 0.542 0.500 0.130
Pb 0.984 0.500 0.639



Name the least stable of them. Q.



--- P ---
Density functional theory data (GGA-PBE) for an optimized crystal structure of LiBePb.

V, Å³/cell: 113.0
DOS at the Fermi energy, states/eV/atom: 0.2476
Magnetic moment, μB/atom: 0.00

a b c (Å): 3.881 4.474 6.592
angles (deg): 97.58 94.78 90.94
Fractional coordinates of all 6 atoms:
Li 0.199 0.283 0.179
Li 0.801 0.717 0.821
Be 0.256 0.632 0.520
Be 0.744 0.368 0.480
Pb 0.282 0.192 0.727
Pb 0.718 0.808 0.273



--- Q ---
Density functional theory data (GGA-PBE) for an optimized crystal structure of LiBePb.

V, Å³/cell: 114.3
DOS at the Fermi energy, states/eV/atom: 0.4190
Magnetic moment, μB/atom: 0.00

a b c (Å): 8.748 8.748 8.748
angles (deg): 26.11 26.11 26.11
Fractional coordinates of all 6 atoms:
Li 0.000 0.000 0.000
Li 0.479 0.479 0.479
Be 0.293 0.293 0.293
Be 0.622 0.622 0.622
Pb 0.729 0.729 0.729
Pb 0.895 0.895 0.895



Name the least stable of them. Q.



--- P ---
Density functional theory data (GGA-PBE) for an optimized crystal structure of LiBePb.

V, Å³/cell: 54.7
DOS at the Fermi energy, states/eV/atom: 0.1567
Magnetic moment, μB/atom: 0.00

a b c (Å): 4.950 4.612 3.758
angles (deg): 71.69 62.19 46.12
Fractional coordinates of all 3 atoms:
Li 0.000 0.000 0.000
Be 0.668 0.668 0.332
Pb 0.331 0.331 0.669



--- Q ---
Density functional theory data (GGA-PBE) for an optimized crystal structure of LiBePb.

V, Å³/cell: 113.3
DOS at the Fermi energy, states/eV/atom: 0.5095
Magnetic moment, μB/atom: 0.00

a b c (Å): 3.938 3.938 8.439
angles (deg): 90.00 90.00 120.00
Fractional coordinates of all 6 atoms:
Li 0.000 0.000 0.000
Li 0.333 0.667 0.434
Be 0.000 0.000 0.563
Be 0.667 0.333 0.563
Pb 0.333 0.667 0.752
Pb 0.667 0.333 0.244



--- R ---
Density functional theory data (GGA-PBE) for an optimized crystal structure of LiBePb.

V, Å³/cell: 112.6
DOS at the Fermi energy, states/eV/atom: 0.4709
Magnetic moment, μB/atom: 0.00

a b c (Å): 8.615 8.615 8.615
angles (deg): 26.54 26.54 26.54
Fractional coordinates of all 6 atoms:
Li 0.000 0.000 0.000
Li 0.143 0.143 0.143
Be 0.518 0.518 0.518
Be 0.855 0.855 0.855
Pb 0.251 0.251 0.251
Pb 0.748 0.748 0.748



Name the least stable of them. P.



--- P ---
Density functional theory data (GGA-PBE) for an optimized crystal structure of LiBe3Pb.

V, Å³/cell: 76.5
DOS at the Fermi energy, states/eV/atom: 0.2461
Magnetic moment, μB/atom: 0.00

a b c (Å): 4.244 4.244 4.244
angles (deg): 90.00 90.00 90.00
Fractional coordinates of all 5 atoms:
Li 0.000 0.000 0.000
Be 0.000 0.000 0.500
Be 0.000 0.500 0.000
Be 0.500 0.000 0.000
Pb 0.500 0.500 0.500



--- Q ---
Density functional theory data (GGA-PBE) for an optimized crystal structure of LiBe3Pb.

V, Å³/cell: 109.5
DOS at the Fermi energy, states/eV/atom: 0.8930
Magnetic moment, μB/atom: 0.00

a b c (Å): 4.783 4.783 4.783
angles (deg): 90.00 90.00 90.00
Fractional coordinates of all 5 atoms:
Li 0.000 0.000 0.000
Be 0.000 0.500 0.500
Be 0.500 0.000 0.500
Be 0.500 0.500 0.000
Pb 0.500 0.500 0.500



Name the least stable of them. Q.



--- P ---
Density functional theory data (GGA-PBE) for an optimized crystal structure of LiBePt2Pb.

V, Å³/cell: 87.9
DOS at the Fermi energy, states/eV/atom: 0.4895
Magnetic moment, μB/atom: 0.00

a b c (Å): 4.370 4.370 4.601
angles (deg): 90.00 90.00 90.00
Fractional coordinates of all 5 atoms:
Li 0.000 0.000 0.000
Be 0.500 0.500 0.500
Pt 0.000 0.500 0.000
Pt 0.500 0.000 0.000
Pb 0.000 0.000 0.500



--- Q ---
Density functional theory data (GGA-PBE) for an optimized crystal structure of LiBePt2Pb.

V, Å³/cell: 84.7
DOS at the Fermi energy, states/eV/atom: 0.4556
Magnetic moment, μB/atom: 0.00

a b c (Å): 4.332 4.332 4.513
angles (deg): 90.00 90.00 90.00
Fractional coordinates of all 5 atoms:
Li 0.000 0.000 0.000
Be 0.000 0.000 0.500
Pt 0.000 0.500 0.500
Pt 0.500 0.000 0.500
Pb 0.500 0.500 0.000



Name the least stable of them. P.



--- P ---
Density functional theory data (GGA-PBE) for an optimized crystal structure of LiBePd.

V, Å³/cell: 83.2
DOS at the Fermi energy, states/eV/atom: 0.3569
Magnetic moment, μB/atom: 0.00

a b c (Å): 10.078 10.078 10.078
angles (deg): 163.43 163.43 23.52
Fractional coordinates of all 6 atoms:
Li 0.073 0.073 0.000
Li 0.927 0.927 0.000
Be 0.218 0.218 0.000
Be 0.782 0.782 0.000
Pd 0.341 0.341 0.000
Pd 0.659 0.659 0.000



--- Q ---
Density functional theory data (GGA-PBE) for an optimized crystal structure of LiBePd.

V, Å³/cell: 74.3
DOS at the Fermi energy, states/eV/atom: 0.3302
Magnetic moment, μB/atom: 0.00

a b c (Å): 2.851 3.572 7.409
angles (deg): 90.00 100.19 90.00
Fractional coordinates of all 6 atoms:
Li 0.204 0.250 0.409
Li 0.796 0.750 0.591
Be 0.038 0.250 0.086
Be 0.962 0.750 0.914
Pd 0.415 0.250 0.816
Pd 0.585 0.750 0.184



--- R ---
Density functional theory data (GGA-PBE) for an optimized crystal structure of LiBePd.

V, Å³/cell: 37.5
DOS at the Fermi energy, states/eV/atom: 0.3340
Magnetic moment, μB/atom: 0.00

a b c (Å): 4.831 4.831 4.831
angles (deg): 144.69 144.69 50.79
Fractional coordinates of all 3 atoms:
Li 0.000 0.000 0.000
Be 0.687 0.687 0.000
Pd 0.307 0.307 0.000



Name the least stable of them. R.



--- P ---
Density functional theory data (GGA-PBE) for an optimized crystal structure of LiBePd.

V, Å³/cell: 70.9
DOS at the Fermi energy, states/eV/atom: 0.3321
Magnetic moment, μB/atom: 0.00

a b c (Å): 4.014 4.014 5.083
angles (deg): 90.00 90.00 120.00
Fractional coordinates of all 6 atoms:
Li 0.000 0.000 0.000
Li 0.333 0.667 0.834
Be 0.000 0.000 0.490
Be 0.667 0.333 0.191
Pd 0.333 0.667 0.328
Pd 0.667 0.333 0.658



--- Q ---
Density functional theory data (GGA-PBE) for an optimized crystal structure of LiBePd.

V, Å³/cell: 35.6
DOS at the Fermi energy, states/eV/atom: 0.1266
Magnetic moment, μB/atom: 0.00

a b c (Å): 3.911 3.911 2.690
angles (deg): 90.00 90.00 120.00
Fractional coordinates of all 3 atoms:
Li 0.000 0.000 0.000
Be 0.333 0.667 0.702
Pd 0.667 0.333 0.407



Name the least stable of them. Q.